# 1
Below is a relaxed ZrTi2BiB crystal, with properties calculated at the PBE level.

extended XYZ file:
```
5
Lattice="4.3556 0.0000 0.0000 0.0000 4.3556 0.0000 0.0000 0.0000 4.7658" Properties=species:S:1:pos:R:3 pbc="T T T"
B 0.0000 0.0000 0.0000
Bi 2.1778 2.1778 2.3829
Zr 0.0000 0.0000 2.3829
Ti 0.0000 2.1778 0.0000
Ti 2.1778 0.0000 0.0000
```

## Properties
Uncorrected energy (eV per atom): -7.290
Crystal system: tetragonal
DFT formation energy (eV per atom): -0.311

# 2
Below is a relaxed Sr3CuSb crystal, with properties calculated at the PBE level.

extended XYZ file:
```
5
Lattice="5.7194 0.0000 0.0000 0.0000 5.7194 0.0000 0.0000 0.0000 5.7194" Properties=species:S:1:pos:R:3 pbc="T T T"
Sb 2.8597 2.8597 2.8597
Cu 0.0000 0.0000 0.0000
Sr 0.0000 2.8597 0.0000
Sr 0.0000 0.0000 2.8597
Sr 2.8597 0.0000 0.0000
```

## Properties
Energy relative to the elements, uncorrected (meV per atom): -225.7
Uncorrected energy (eV per atom): -2.878
Crystal system: cubic
Energy above the lowest structure with this stoichiometry (eV per formula unit): 0.00

# 3
Below is a relaxed Tm5Tl2Ni crystal, with properties calculated at the PBE level.

extended XYZ file:
```
16
Lattice="5.1980 0.0000 0.0000 -2.5990 8.2403 0.0000 0.0000 0.0000 12.3186" Properties=species:S:1:pos:R:3 pbc="T T T"
Tm 2.5990 6.8617 11.0314
Tm 2.5990 6.8617 7.4465
Tm 0.0000 4.9267 5.2234
Tm 0.0000 4.9267 0.9359
Tm 2.5990 3.5176 3.0797
Tm 0.0000 4.7227 9.2390
Tm 2.5990 3.3136 7.0952
Tm 2.5990 3.3136 11.3828
Tm 0.0000 1.3786 1.2872
Tm 0.0000 1.3786 4.8721
Tl 2.5990 6.5208 4.5220
Tl 2.5990 6.5208 1.6374
Tl 0.0000 1.7195 7.7967
Tl 0.0000 1.7195 10.6813
Ni 2.5990 4.9745 9.2390
Ni 0.0000 3.2657 3.0797
```

## Properties
Uncorrected energy (eV per atom): -4.040
Crystal system: orthorhombic
Energy above the lowest structure with this stoichiometry (eV per formula unit): 2.88
DFT formation energy (eV per atom): 0.069

# 4
Below is a relaxed Mn3I crystal, with properties calculated at the PBE level.

extended XYZ file:
```
4
Lattice="4.0818 0.0000 0.0000 0.0000 4.0818 0.0000 0.0000 0.0000 4.0818" Properties=species:S:1:pos:R:3 pbc="T T T"
Mn 0.0000 2.0409 2.0409
Mn 2.0409 0.0000 2.0409
Mn 2.0409 2.0409 0.0000
I 0.0000 0.0000 0.0000
```

## Properties
Energy relative to the elements, uncorrected (meV per atom): 763.9
Uncorrected energy (eV per atom): -6.501
Crystal system: cubic

# 5
Below is a relaxed AgOsPt3 crystal, with properties calculated at the PBE level.

extended XYZ file:
```
5
Lattice="-3.8864 0.2558 -2.8618 2.2412 -2.7423 -3.2888 -1.7978 -3.9716 2.0865" Properties=species:S:1:pos:R:3 pbc="T T T"
Os 0.0000 0.0000 0.0000
Ag -1.7215 -3.2290 -2.0320
Pt 1.1206 -1.3712 -1.6444
Pt -0.8989 -1.9858 1.0432
Pt -1.9432 0.1279 -1.4309
```

## Properties
Uncorrected energy (eV per atom): -5.180
Crystal system: cubic
Energy above the lowest structure with this stoichiometry (eV per formula unit): 0.00
DFT formation energy (eV per atom): 1.261

# 6
Below is a relaxed Mg3TePd12 crystal, with properties calculated at the PBE level.

extended XYZ file:
```
16
Lattice="-0.3151 3.4643 -1.9604 -0.5602 -1.9856 -3.4187 -15.8059 0.0213 2.5778" Properties=species:S:1:pos:R:3 pbc="T T T"
Mg -4.0426 0.0054 0.6593
Mg -7.9030 0.0106 1.2889
Mg -11.7633 0.0158 1.9185
Te 0.0000 0.0000 0.0000
Pd -0.4376 0.7393 -2.6896
Pd -4.4398 0.7447 -2.0368
Pd -8.3406 0.7500 -1.4007
Pd -12.2414 0.7552 -0.7645
Pd -2.2056 1.7349 -0.6462
Pd -6.1234 1.7402 -0.0072
Pd -9.9976 1.7454 0.6246
Pd -13.9153 1.7507 1.2635
Pd -2.3282 -0.9900 -1.3753
Pd -6.2460 -0.9848 -0.7364
Pd -10.1202 -0.9795 -0.1045
Pd -14.0379 -0.9743 0.5344
```

## Properties
Energy relative to the elements, uncorrected (meV per atom): -415.2
Uncorrected energy (eV per atom): -4.805
Crystal system: tetragonal

# 7
Below is a relaxed TcTeRu2Br crystal, with properties calculated at the PBE level.

extended XYZ file:
```
5
Lattice="-2.8197 -2.7992 -2.7673 -1.0876 -3.2861 4.4322 -3.8232 2.7575 1.1063" Properties=species:S:1:pos:R:3 pbc="T T T"
Ru -1.9116 1.3787 0.5531
Ru -1.4098 -1.3996 -1.3836
Te 0.0000 0.0000 0.0000
Tc -3.8652 -1.6639 1.3856
Br -0.5438 -1.6430 2.2161
```

## Properties
Energy relative to the elements, uncorrected (meV per atom): 1887.0
Uncorrected energy (eV per atom): -4.859
Crystal system: tetragonal
Energy above the lowest structure with this stoichiometry (eV per formula unit): 1.95

# 8
Below is a relaxed PuMgSi2Pt2 crystal, with properties calculated at the PBE level.

extended XYZ file:
```
6
Lattice="-0.8562 3.4824 -2.2727 0.1915 -3.7871 -1.9095 -6.7361 -0.9140 1.1371" Properties=species:S:1:pos:R:3 pbc="T T T"
Pu 0.0000 0.0000 0.0000
Mg -3.3681 -0.4570 0.5686
Si -2.0628 -1.6224 -1.7089
Si -5.3380 0.4037 -1.3361
Pt -4.8492 -2.0005 -1.2385
Pt -2.5516 0.7818 -1.8064
```

## Properties
Energy relative to the elements, uncorrected (meV per atom): -786.0
Uncorrected energy (eV per atom): -7.262
Crystal system: trigonal

# 9
Below is a relaxed La2Zn5Au crystal, with properties calculated at the PBE level.

extended XYZ file:
```
16
Lattice="-2.8617 -0.6162 3.3427 2.3596 -7.9707 -2.4022 6.9234 0.2494 5.9731" Properties=species:S:1:pos:R:3 pbc="T T T"
La 4.3174 -5.0745 5.7139
La 2.1039 -3.2630 1.1997
La 0.0000 0.0000 0.0000
La 3.4617 0.1247 2.9865
Zn 6.5074 -2.8423 5.0471
Zn -0.0861 -5.4951 1.8665
Zn 4.5653 -2.9122 3.3715
Zn 1.8561 -5.4252 3.5420
Zn 7.4420 -5.4667 5.3634
Zn -1.0207 -2.8707 1.5501
Zn 4.2246 -5.5826 2.5877
Zn 2.1967 -2.7548 4.3259
Zn 3.9510 -1.8089 6.0022
Zn 2.4703 -6.5285 0.9114
Au 6.0194 -7.1835 3.8291
Au 0.4019 -1.1539 3.0844
```

## Properties
Uncorrected energy (eV per atom): -2.885
Crystal system: orthorhombic
DFT formation energy (eV per atom): -0.448

# 10
Below is a relaxed CdHg2Pb crystal, with properties calculated at the PBE level.

extended XYZ file:
```
4
Lattice="3.4434 -0.0556 0.0000 -1.4089 3.1425 0.0000 0.0000 0.0000 10.1022" Properties=species:S:1:pos:R:3 pbc="T T T"
Pb 1.0173 1.5434 2.5256
Hg 0.0000 0.0000 9.9574
Hg 0.0000 0.0000 5.1960
Cd 1.0173 1.5434 7.5767
```

## Properties
Uncorrected energy (eV per atom): -1.265
Crystal system: orthorhombic
DFT formation energy (eV per atom): 0.041

# 11
Below is a relaxed InOs2Pt crystal, with properties calculated at the PBE level.

extended XYZ file:
```
4
Lattice="2.7893 0.0000 0.0000 0.0000 3.9449 0.0000 0.0000 0.0000 5.9188" Properties=species:S:1:pos:R:3 pbc="T T T"
In 1.3946 1.9725 4.4391
Os 0.0000 0.0000 0.1658
Os 0.0000 0.0000 2.7937
Pt 1.3946 1.9725 1.4797
```

## Properties
Uncorrected energy (eV per atom): -7.319
Crystal system: orthorhombic
Energy above the lowest structure with this stoichiometry (eV per formula unit): 1.60
DFT formation energy (eV per atom): 0.490

# 12
Below is a relaxed Al2CrHg crystal, with properties calculated at the PBE level.

extended XYZ file:
```
4
Lattice="4.9541 -0.1675 0.1350 4.0894 2.8014 0.1350 0.8435 0.2457 4.6587" Properties=species:S:1:pos:R:3 pbc="T T T"
Cr 4.8985 1.4267 2.6379
Hg 2.4435 0.7117 1.1774
Al 0.8958 0.2609 4.6602
Al 7.4363 2.1658 3.5763
```

## Properties
Uncorrected energy (eV per atom): -4.171
Crystal system: monoclinic
DFT formation energy (eV per atom): 0.182

# 13
Below is a relaxed LaIn3Rh3 crystal, with properties calculated at the PBE level.

extended XYZ file:
```
14
Lattice="-2.6072 -0.3315 -7.7579 -3.6848 -6.7595 -2.7969 -6.8652 -0.3927 -2.0001" Properties=species:S:1:pos:R:3 pbc="T T T"
La -2.1609 -2.3374 -3.4980
La -10.9964 -5.1463 -9.0569
In -8.5300 -6.0104 -6.6265
In -7.1108 -1.4227 -8.1253
In -6.2231 -2.9128 -3.4030
In -6.9341 -4.5709 -9.1519
In -6.0465 -6.0610 -4.4297
In -4.6273 -1.4733 -5.9284
Rh -4.0145 -4.2897 -4.1768
Rh -4.5586 -2.2623 -8.5175
Rh -6.1599 -6.7418 -7.7311
Rh -6.9974 -0.7420 -4.8239
Rh -8.5987 -5.2215 -4.0374
Rh -9.1427 -3.1941 -8.3782
```

## Properties
Uncorrected energy (eV per atom): -5.400
Crystal system: trigonal
Energy above the lowest structure with this stoichiometry (eV per formula unit): 0.00
DFT formation energy (eV per atom): -0.372

# 14
Below is a relaxed MgZn2Cd crystal, with properties calculated at the PBE level.

extended XYZ file:
```
8
Lattice="4.8174 0.0000 -0.2590 0.0000 5.5658 0.0000 0.6426 0.0000 5.6175" Properties=species:S:1:pos:R:3 pbc="T T T"
Mg 3.1823 4.1744 1.8514
Mg 2.2776 1.3915 3.5071
Zn 0.6977 2.7653 1.4370
Zn 4.7622 2.8006 3.9215
Zn 4.7622 5.5482 3.9215
Zn 0.6977 0.0176 1.4370
Cd 2.3594 4.1744 4.7461
Cd 3.1005 1.3915 0.6124
```

## Properties
Uncorrected energy (eV per atom): -1.270
Crystal system: monoclinic
Energy above the lowest structure with this stoichiometry (eV per formula unit): 0.11
DFT formation energy (eV per atom): -0.006

# 15
Below is a relaxed La2TmH crystal, with properties calculated at the PBE level.

extended XYZ file:
```
4
Lattice="-1.1830 0.5144 -3.4569 -3.6059 0.3920 -0.6768 -0.8356 9.1128 -0.3273" Properties=species:S:1:pos:R:3 pbc="T T T"
La -0.9648 7.6165 -0.5057
La -1.4643 1.8308 -1.1956
Tm -2.8135 4.9960 -2.2321
H -4.0299 9.6982 -3.0853
```

## Properties
Uncorrected energy (eV per atom): -4.567
Crystal system: trigonal
Energy above the lowest structure with this stoichiometry (eV per formula unit): 0.00

# 16
Below is a relaxed GaSe2IN crystal, with properties calculated at the PBE level.

extended XYZ file:
```
5
Lattice="-1.8986 -4.8976 -0.9452 4.8154 -1.5360 -1.7135 0.9115 -1.0251 3.4804" Properties=species:S:1:pos:R:3 pbc="T T T"
I 1.9142 -3.7293 0.4109
Ga 0.0000 0.0000 0.0000
Se 2.4077 -0.7680 -0.8568
Se -0.9493 -2.4488 -0.4726
N 0.4557 -0.5125 1.7402
```

## Properties
Energy relative to the elements, uncorrected (meV per atom): 747.7
Uncorrected energy (eV per atom): -3.227
Crystal system: tetragonal
Energy above the lowest structure with this stoichiometry (eV per formula unit): 0.00

# 17
Below is a relaxed Hf5TiBi4 crystal, with properties calculated at the PBE level.

extended XYZ file:
```
20
Lattice="5.4546 0.0000 0.0000 0.0000 10.3048 0.0000 0.0000 0.0000 8.9623" Properties=species:S:1:pos:R:3 pbc="T T T"
Hf 1.3930 7.6970 5.9587
Hf 1.3930 2.6078 5.9587
Hf 2.8977 5.1524 0.0000
Hf 1.3930 7.6970 3.0036
Hf 1.3930 2.6078 3.0036
Hf 4.0616 7.7602 1.4775
Hf 4.0616 2.5446 1.4775
Hf 2.5569 0.0000 4.4812
Hf 4.0616 2.5446 7.4848
Hf 4.0616 7.7602 7.4848
Ti 3.6141 0.0000 0.0000
Ti 1.8405 5.1524 4.4812
Bi 5.2056 0.0000 6.2183
Bi 1.3592 8.3774 0.0000
Bi 1.3592 1.9274 0.0000
Bi 5.2056 0.0000 2.7440
Bi 0.2489 5.1524 1.7372
Bi 4.0954 7.0798 4.4812
Bi 4.0954 3.2250 4.4812
Bi 0.2489 5.1524 7.2252
```

## Properties
Uncorrected energy (eV per atom): -7.169
Crystal system: orthorhombic
DFT formation energy (eV per atom): 0.149

# 18
Below is a relaxed K3Np3GaTe8 crystal, with properties calculated at the PBE level.

extended XYZ file:
```
15
Lattice="8.9535 0.0031 0.0041 -4.4741 7.7445 -0.0301 0.0022 -5.1286 8.2939" Properties=species:S:1:pos:R:3 pbc="T T T"
K 0.0000 0.0000 0.0000
K -2.2371 3.8723 -0.0151
K 2.2397 3.8738 -0.0130
Np 4.4779 -2.5628 4.1490
Np 2.2408 1.3095 4.1339
Np -2.2360 1.3079 4.1319
Ga 0.0011 -2.5643 4.1470
Te 0.0031 2.5924 2.3929
Te 4.4785 0.0266 5.8750
Te 4.4801 2.6173 2.4994
Te 0.0015 0.0016 5.7684
Te 6.7338 -1.2866 2.5122
Te -2.2522 3.9056 5.7556
Te 2.2301 -1.2845 2.5060
Te 2.2514 3.9035 5.7618
```

## Properties
Energy relative to the elements, uncorrected (meV per atom): -730.0
Uncorrected energy (eV per atom): -5.415
Crystal system: monoclinic

# 19
Below is a relaxed LiB2RhW crystal, with properties calculated at the PBE level.

extended XYZ file:
```
5
Lattice="3.9532 0.0000 0.0000 0.0000 3.9255 0.0000 0.0000 0.0000 3.9532" Properties=species:S:1:pos:R:3 pbc="T T T"
B 0.0000 0.0000 1.9766
B 1.9766 0.0000 0.0000
Rh 0.0000 0.0000 0.0000
W 1.9766 1.9627 1.9766
Li 0.0000 1.9627 0.0000
```

## Properties
Uncorrected energy (eV per atom): -5.921
Crystal system: tetragonal
DFT formation energy (eV per atom): 1.194

# 20
Below is a relaxed Ac2Pm7Sm crystal, with properties calculated at the PBE level.

extended XYZ file:
```
10
Lattice="3.6216 0.0000 0.0000 0.0000 10.3156 -2.9038 0.0000 -0.7638 10.6892" Properties=species:S:1:pos:R:3 pbc="T T T"
Ac 1.8108 8.3611 -0.5057
Ac 1.8108 1.1908 8.2911
Pm 0.0000 6.5645 1.6983
Pm 0.0000 2.9873 6.0871
Pm 1.8108 1.1863 3.6189
Pm 1.8108 8.3655 4.1665
Pm 1.8108 3.7838 0.4321
Pm 1.8108 5.7680 7.3533
Pm 1.8108 4.7759 3.8927
Sm 0.0000 0.0000 0.0000
```

## Properties
Uncorrected energy (eV per atom): -4.183
Crystal system: orthorhombic
Energy above the lowest structure with this stoichiometry (eV per formula unit): 2.80
DFT formation energy (eV per atom): 0.436